Entry 1:
A relaxed Co2PbBr crystal, computed with PBE.

Cell: 6.6960 6.6960 4.2902 Å, 90.78 90.78 30.01°
With the nearest neighbours (Å) after each atom.
Positions (direct):
Br 0.2878 0.2878 0.0038  2 Co 2.45
Co 0.0419 0.0419 0.9970  2 Co 2.26
Co 0.6538 0.6538 0.0029  2 Co 2.26, 2 Br 2.45
Pb 0.5166 0.5166 0.4964  6 Co 2.78-2.79

- VASP energy (eV/cell) = -18.216
- E above lowest polymorph (kJ per mole of atoms) = 7.5
- formation energy (no corrections) (eV/f.u.) = 1.38

Entry 2:
A relaxed EuDy2Pb crystal, computed with PBE.

Cell: 3.5777 3.5777 12.4554 Å, 81.74 81.74 60.00°
With the nearest neighbours (Å) after each atom.
Positions (direct):
Pb 0.0000 0.0000 0.0000  2 Dy 3.15
Eu 0.5000 0.5000 0.5000  6 Eu 3.58, 6 Dy 3.63
Dy 0.0855 0.0855 0.7434  1 Pb 3.15
Dy 0.9145 0.9145 0.2566  1 Pb 3.15

- VASP energy (eV/cell) = -22.753
- E above lowest polymorph (kJ per mole of atoms) = 35.1
- ΔE_f (eV/atom) = 0.1084

Entry 3:
A relaxed RbNa2N2 crystal, computed with PBE.

Cell: 4.3601 4.3601 5.3848 Å, 66.12 66.12 90.00°
With the nearest neighbours (Å) after each atom.
Positions (direct):
Na 0.7500 0.2500 0.5000  4 N 2.66
Na 0.2500 0.7500 0.5000  4 N 2.66
Rb 0.0000 0.0000 0.0000  8 Na 3.10, 8 N 3.16
N 0.4218 0.4218 0.1563  1 N 1.38
N 0.5782 0.5782 0.8437  1 N 1.38

- VASP energy (eV/cell) = -18.260
- E above lowest polymorph (kJ per mole of atoms) = 33.4
- formation energy (no corrections) (eV/f.u.) = 2.00

Entry 4:
A relaxed Nd8Ir3RuBr4 crystal, computed with PBE.

Cell: 8.2802 9.1744 8.2796 Å, 116.83 120.00 90.00°
With the nearest neighbours (Å) after each atom.
Positions (direct):
Nd 0.2300 0.6959 0.9660  1 Ru 2.82, 2 Ir 2.85
Nd 0.2302 0.6962 0.4604  1 Ru 2.82, 2 Ir 2.85
Nd 0.2687 0.3063 0.5374  3 Ir 2.83
Nd 0.7360 0.6959 0.9660  1 Ru 2.82, 2 Ir 2.85
Nd 0.2640 0.3041 0.0340  1 Ru 2.82, 2 Ir 2.85
Nd 0.7313 0.6937 0.4626  3 Ir 2.83
Nd 0.7698 0.3038 0.5396  1 Ru 2.82, 2 Ir 2.85
Nd 0.7700 0.3041 0.0340  1 Ru 2.82, 2 Ir 2.85
Ir 0.5000 0.5000 0.0000  6 Nd 2.83-2.85
Ir 0.5000 0.5000 0.5000  6 Nd 2.83-2.85
Ir 0.0000 0.5000 0.5000  6 Nd 2.83-2.85
Ru 0.0000 0.5000 0.0000  6 Nd 2.82
Br 0.5000 0.0000 0.0000  6 Nd 3.39
Br 0.5000 0.0000 0.5000  6 Nd 3.36-3.39
Br 0.0000 0.0000 0.0000  6 Nd 3.36-3.38
Br 0.0000 0.0000 0.5000  6 Nd 3.36-3.39

- VASP energy (eV/cell) = -96.920
- formation energy (no corrections) (eV/f.u.) = -16.23

Question: VASP energy of number 3 (RbNa2N2)?
Answer: -18.260 eV/cell

Question: VASP energy of number 2 (EuDy2Pb)?
Answer: -22.753 eV/cell

Question: Which of these has the highest VASP energy?
Answer: Co2PbBr